DFT (PBE) results for a geometry-optimized La8Ho2Al structure.

Computed properties:
The energy relative to the elements comes out at -32.8 meV per atom. The value obtained for the energy is -4.789 eV per atom. Its density of states at the Fermi level is 15.48 states/eV/cell. The space group is No. 12.

Cell: 9.596 9.596 8.185 Å, 105.17 105.17 30.43°
Fractional coordinates of all 11 atoms:
La 0.044 0.044 0.241
La 0.134 0.134 0.675
La 0.326 0.326 0.592
La 0.410 0.410 0.056
La 0.590 0.590 0.944
La 0.674 0.674 0.408
La 0.866 0.866 0.325
La 0.956 0.956 0.759
Ho 0.227 0.227 0.134
Ho 0.773 0.773 0.866
Al 0.500 0.500 0.500

---

DFT (PBE) results for a geometry-optimized Tb2Cu2Ir structure.

Computed properties:
The energy relative to the elements comes out at -438.2 meV per atom. The value obtained for the energy is -5.701 eV per atom. Its density of states at the Fermi level is 5.64 states/eV/cell. The space group is No. 12.

Cell: 5.406 5.406 10.857 Å, 111.34 111.34 43.82°
Fractional coordinates of all 10 atoms:
Tb 0.015 0.015 0.341
Tb 0.197 0.197 0.123
Tb 0.803 0.803 0.877
Tb 0.985 0.985 0.659
Cu 0.357 0.357 0.452
Cu 0.479 0.479 0.107
Cu 0.521 0.521 0.893
Cu 0.643 0.643 0.548
Ir 0.287 0.287 0.680
Ir 0.713 0.713 0.320